9
Lattice="4.375 0.000 0.000 0.000 4.375 0.000 0.000 0.000 9.720" Properties=species:S:1:pos:R:3 comment="Cs2Tb2O5 | the Open Quantum Materials Database | PBE | relaxed" energy_ev_per_atom=-6.143 pbc="T T T"
Cs 0.000 0.000 0.000
Cs 0.000 0.000 4.860
Tb 2.188 2.188 2.129
Tb 2.188 2.188 7.591
O 0.000 2.188 2.672
O 0.000 2.188 7.048
O 2.188 0.000 2.672
O 2.188 0.000 7.048
O 2.188 2.188 0.000

***

4
Lattice="0.000 3.249 3.249 3.249 0.000 3.249 3.249 3.249 0.000" Properties=species:S:1:pos:R:3 comment="MgScCuGe | the Open Quantum Materials Database | PBE | relaxed" energy_ev_per_atom=-4.180 pbc="T T T"
Mg 0.000 0.000 0.000
Sc 1.625 1.625 1.625
Cu 4.874 4.874 4.874
Ge 3.249 3.249 3.249

***

4
Lattice="0.000 3.288 3.288 3.288 0.000 3.288 3.288 3.288 0.000" Properties=species:S:1:pos:R:3 comment="LuTlCoTc | the Open Quantum Materials Database | PBE | relaxed" energy_ev_per_atom=-5.790 pbc="T T T"
Lu 0.000 0.000 0.000
Tl 3.288 3.288 3.288
Co 4.932 4.932 4.932
Tc 1.644 1.644 1.644

***

6
Lattice="0.000 3.349 3.349 3.349 0.000 3.349 3.349 3.349 0.000" Properties=species:S:1:pos:R:3 comment="HgC2 | the Open Quantum Materials Database | PBE | relaxed" energy_ev_per_atom=-2.853 pbc="T T T"
Hg 0.837 0.837 0.837
Hg 5.861 5.861 5.861
C 3.349 1.675 1.675
C 1.675 3.349 1.675
C 1.675 1.675 3.349
C 3.349 3.349 3.349

***

24
Lattice="7.781 0.000 0.000 0.000 4.217 0.000 0.000 0.000 16.356" Properties=species:S:1:pos:R:3 comment="Pr2P3Au | the Open Quantum Materials Database | PBE | relaxed" energy_ev_per_atom=-5.867 pbc="T T T"
Pr 0.740 1.054 3.346
Pr 1.824 1.054 7.808
Pr 2.067 3.163 15.986
Pr 3.151 3.163 11.523
Pr 4.630 1.054 4.832
Pr 5.714 1.054 0.370
Pr 5.957 3.163 8.548
Pr 7.041 3.163 13.010
P 0.272 1.054 14.812
P 0.909 3.163 9.638
P 1.570 1.054 13.033
P 2.321 3.163 4.855
P 2.981 1.054 1.460
P 3.618 3.163 6.634
P 4.163 1.054 9.722
P 4.799 3.163 14.895
P 5.460 1.054 11.500
P 6.211 3.163 3.322
P 6.872 1.054 6.717
P 7.508 3.163 1.544
Au 0.020 1.054 10.572
Au 3.871 3.163 2.394
Au 3.910 1.054 13.962
Au 7.761 3.163 5.784

***

11
Lattice="-2.034 3.250 6.747 2.034 -3.250 6.747 2.034 3.250 -6.747" Properties=species:S:1:pos:R:3 comment="HoLu2Cu4Si4 | the Open Quantum Materials Database | PBE | relaxed" energy_ev_per_atom=-5.199 pbc="T T T"
Ho 0.000 0.000 0.000
Lu 2.034 0.000 5.015
Lu 0.000 3.250 1.732
Cu 2.034 1.253 -2.292
Cu 2.034 1.253 2.292
Cu 0.000 1.998 4.455
Cu 0.000 1.998 9.039
Si 0.000 0.000 2.925
Si 2.034 2.047 0.000
Si 0.000 1.203 6.747
Si 0.000 0.000 10.569